## A
A plane-wave DFT calculation with meta-GGA SCAN was carried out for a crystal of La3Sb relaxed with PBEsol.

POSCAR file:
```
La3Sb
1.0
-2.4345 2.4345 9.9806
2.4345 -2.4345 9.9806
2.4345 2.4345 -9.9806
La Sb
6 2
direct
0.0000 0.5000 0.5000
0.1246 0.1246 0.0000
0.2500 0.7500 0.5000
0.5000 0.0000 0.5000
0.7500 0.2500 0.5000
0.8754 0.8754 0.0000
0.3757 0.3757 0.0000
0.6243 0.6243 0.0000
```

Properties
The calculation puts the magnetization at 0.00 Bohr magnetons per cell. As for the space group: I4/mmm (139).

---

## B
A plane-wave DFT calculation with meta-GGA SCAN was carried out for a crystal of La3Sb relaxed with PBEsol.

POSCAR file:
```
La3Sb
1.0
6.9344 0.0000 0.0000
-3.4672 6.0054 0.0000
0.0000 0.0000 11.3525
La Sb
12 4
direct
0.0000 0.5000 0.0000
0.0000 0.5000 0.5000
0.1590 0.3181 0.2500
0.1590 0.8410 0.2500
0.3181 0.1590 0.7500
0.5000 0.0000 0.0000
0.5000 0.0000 0.5000
0.5000 0.5000 0.0000
0.5000 0.5000 0.5000
0.6819 0.8410 0.2500
0.8410 0.1590 0.7500
0.8410 0.6819 0.7500
0.0000 0.0000 0.0000
0.0000 0.0000 0.5000
0.3333 0.6667 0.7500
0.6667 0.3333 0.2500
```

Properties
The calculation puts the magnetization at 0.00 Bohr magnetons per cell. As for the space group: P6_3/mmc (194).

---

## C
A plane-wave DFT calculation with meta-GGA SCAN was carried out for a crystal of La3Sb relaxed with PBEsol.

POSCAR file:
```
La3Sb
1.0
4.1653 0.0000 0.0000
0.0000 4.1653 0.0000
0.0000 0.0000 7.1822
La Sb
3 1
direct
0.0000 0.0000 0.0000
0.5000 0.5000 0.2859
0.5000 0.5000 0.7141
0.0000 0.0000 0.5000
```

Properties
The calculation puts the magnetization at 0.00 Bohr magnetons per cell. As for the space group: P4/mmm (123).

---

What should be chosen as the most stable of them? Choose B.

---

## A
A plane-wave DFT calculation with meta-GGA SCAN was carried out for a crystal of La3Sb relaxed with PBEsol.

POSCAR file:
```
La3Sb
1.0
4.9050 0.0000 0.0000
0.0000 4.9050 0.0000
0.0000 0.0000 4.9050
La Sb
3 1
direct
0.0000 0.0000 0.5000
0.0000 0.5000 0.0000
0.5000 0.0000 0.0000
0.5000 0.5000 0.5000
```

Properties
The calculation puts the magnetization at 0.00 Bohr magnetons per cell. As for the space group: Pm-3m (221).

---

## B
A plane-wave DFT calculation with meta-GGA SCAN was carried out for a crystal of La3Sb relaxed with PBEsol.

POSCAR file:
```
La3Sb
1.0
0.0000 3.9076 3.9076
3.9076 0.0000 3.9076
3.9076 3.9076 0.0000
La Sb
3 1
direct
0.0000 0.0000 0.0000
0.2500 0.2500 0.2500
0.7500 0.7500 0.7500
0.5000 0.5000 0.5000
```

Properties
The calculation puts the magnetization at 0.00 Bohr magnetons per cell. As for the space group: Fm-3m (225).

---

What should be chosen as the most stable of them? Choose A.

---

## A
A plane-wave DFT calculation with meta-GGA SCAN was carried out for a crystal of La2SiSb relaxed with PBEsol.

POSCAR file:
```
La2SiSb
1.0
-2.8567 2.8567 3.2529
2.8567 -2.8567 3.2529
2.8567 2.8567 -3.2529
La Si Sb
2 1 1
direct
0.2500 0.7500 0.5000
0.7500 0.2500 0.5000
0.0000 0.0000 0.0000
0.5000 0.5000 0.0000
```

Properties
The calculation puts the magnetization at 0.55 Bohr magnetons per cell. As for the space group: I4/mmm (139).

---

## B
A plane-wave DFT calculation with meta-GGA SCAN was carried out for a crystal of La2SiSb relaxed with PBEsol.

POSCAR file:
```
La2SiSb
1.0
3.6201 0.0000 0.0000
0.0000 3.6201 0.0000
0.0000 0.0000 8.5821
La Si Sb
2 1 1
direct
0.0000 0.0000 0.0000
0.5000 0.5000 0.3919
0.0000 0.0000 0.6148
0.5000 0.5000 0.7623
```

Properties
The calculation puts the magnetization at 0.00 Bohr magnetons per cell. As for the space group: P4mm (99).

---

What should be chosen as the most stable of them? Choose A.

---

## A
A plane-wave DFT calculation with meta-GGA SCAN was carried out for a crystal of LaTl2Sb relaxed with PBEsol.

POSCAR file:
```
LaTl2Sb
1.0
-2.1104 2.4084 5.5812
2.1104 -2.4084 5.5812
2.1104 2.4084 -5.5812
La Tl Sb
1 2 1
direct
0.0000 0.0000 0.0000
0.2619 0.7619 0.5000
0.7381 0.2381 0.5000
0.5000 0.5000 0.0000
```

Properties
The calculation puts the magnetization at 0.00 Bohr magnetons per cell. As for the space group: Immm (71).

---

## B
A plane-wave DFT calculation with meta-GGA SCAN was carried out for a crystal of LaTl2Sb relaxed with PBEsol.

POSCAR file:
```
LaTl2Sb
1.0
-2.3662 2.3685 4.9237
2.3662 -2.3685 4.9237
2.3662 2.3685 -4.9237
La Tl Sb
1 2 1
direct
0.0000 0.0000 0.0000
0.4990 0.4990 0.0000
0.7496 0.2496 0.5000
0.2499 0.7499 0.5000
```

Properties
The calculation puts the magnetization at 0.00 Bohr magnetons per cell. As for the space group: Imm2 (44).

---

## C
A plane-wave DFT calculation with meta-GGA SCAN was carried out for a crystal of LaTl2Sb relaxed with PBEsol.

POSCAR file:
```
LaTl2Sb
1.0
4.1479 0.0000 0.0000
0.0000 4.1479 0.0000
0.0000 0.0000 6.7157
La Tl Sb
1 2 1
direct
0.0000 0.0000 0.0000
0.0000 0.0000 0.4824
0.5000 0.5000 0.7074
0.5000 0.5000 0.2110
```

Properties
The calculation puts the magnetization at 0.00 Bohr magnetons per cell. As for the space group: P4mm (99).

---

What should be chosen as the most stable of them? Choose B.

---

## A
A plane-wave DFT calculation with meta-GGA SCAN was carried out for a crystal of LaZrSb2 relaxed with PBEsol.

POSCAR file:
```
LaZrSb2
1.0
3.2224 0.0000 0.0000
0.0000 3.2224 0.0000
0.0000 0.0000 10.4725
La Zr Sb
1 1 2
direct
0.0000 0.0000 0.0000
0.5000 0.5000 0.7266
0.0000 0.0000 0.5262
0.5000 0.5000 0.2329
```

Properties
The calculation puts the magnetization at 0.61 Bohr magnetons per cell. As for the space group: P4mm (99).

---

## B
A plane-wave DFT calculation with meta-GGA SCAN was carried out for a crystal of LaZrSb2 relaxed with PBEsol.

POSCAR file:
```
LaZrSb2
1.0
2.1380 1.2344 7.1208
-2.1380 1.2344 7.1208
0.0000 -2.4687 7.1208
La Zr Sb
1 1 2
direct
0.0000 0.0000 0.0000
0.5000 0.5000 0.5000
0.2406 0.2406 0.2406
0.7594 0.7594 0.7594
```

Properties
The calculation puts the magnetization at 0.00 Bohr magnetons per cell. As for the space group: R-3m (166).

---

What should be chosen as the most stable of them? Choose B.

---

## A
A plane-wave DFT calculation with meta-GGA SCAN was carried out for a crystal of LaZrSb2 relaxed with PBEsol.

POSCAR file:
```
LaZrSb2
1.0
3.3033 -3.9250 0.0000
3.3033 3.9250 0.0000
-0.1147 0.0000 3.9213
La Zr Sb
1 1 2
direct
0.0000 0.0000 0.0000
0.5000 0.5000 0.0000
0.0000 0.5000 0.5000
0.5000 0.0000 0.5000
```

Properties
The calculation puts the magnetization at 0.00 Bohr magnetons per cell. As for the space group: C2/m (12).

---

## B
A plane-wave DFT calculation with meta-GGA SCAN was carried out for a crystal of LaZrSb2 relaxed with PBEsol.

POSCAR file:
```
LaZrSb2
1.0
4.8559 0.0000 0.0000
0.0000 1.9989 5.5336
0.0000 -1.9989 5.5336
La Zr Sb
1 1 2
direct
0.0000 0.0000 0.0000
0.5000 0.7477 0.7477
0.0000 0.2728 0.2728
0.5000 0.4758 0.4758
```

Properties
The calculation puts the magnetization at 0.67 Bohr magnetons per cell. As for the space group: Amm2 (38).

---

What should be chosen as the most stable of them? Choose B.

---

## A
A plane-wave DFT calculation with meta-GGA SCAN was carried out for a crystal of LaSc relaxed with PBEsol.

POSCAR file:
```
LaSc
1.0
1.6943 -6.4401 0.0000
1.6943 6.4401 0.0000
0.0000 0.0000 5.3212
La Sc
2 2
direct
0.1704 0.8296 0.7500
0.8296 0.1704 0.2500
0.4392 0.5608 0.7500
0.5608 0.4392 0.2500
```

Properties
The calculation puts the magnetization at 0.18 Bohr magnetons per cell. As for the space group: Cmcm (63).

---

## B
A plane-wave DFT calculation with meta-GGA SCAN was carried out for a crystal of LaSc relaxed with PBEsol.

POSCAR file:
```
LaSc
1.0
5.5161 0.0000 0.0000
0.0000 1.7382 8.9341
0.0000 -1.7382 8.9341
La Sc
3 3
direct
0.0000 0.0000 0.0000
0.0000 0.3280 0.3280
0.5000 0.5540 0.5540
0.0000 0.6676 0.6676
0.5000 0.2193 0.2193
0.5000 0.8764 0.8764
```

Properties
The calculation puts the magnetization at 0.00 Bohr magnetons per cell. As for the space group: Amm2 (38).

---

What should be chosen as the most stable of them? Choose A.

---

## A
A plane-wave DFT calculation with meta-GGA SCAN was carried out for a crystal of LaSc relaxed with PBEsol.

POSCAR file:
```
LaSc
1.0
3.4175 0.0000 0.0000
-1.7087 2.9596 0.0000
0.0000 0.0000 16.7733
La Sc
3 3
direct
0.0000 0.0000 0.0000
0.6667 0.3333 0.1874
0.6667 0.3333 0.8126
0.0000 0.0000 0.3528
0.0000 0.0000 0.6472
0.6667 0.3333 0.5000
```

Properties
The calculation puts the magnetization at 0.00 Bohr magnetons per cell. As for the space group: P-6m2 (187).

---

## B
A plane-wave DFT calculation with meta-GGA SCAN was carried out for a crystal of LaSc relaxed with PBEsol.

POSCAR file:
```
LaSc
1.0
6.0331 -1.7643 0.0000
6.0331 1.7643 0.0000
-2.5221 0.0000 8.0619
La Sc
3 3
direct
0.0000 0.0000 0.0000
0.3489 0.3489 0.2453
0.6316 0.6316 0.3622
0.0239 0.0239 0.6122
0.3169 0.3169 0.6675
0.7061 0.7061 0.8880
```

Properties
The calculation puts the magnetization at 0.00 Bohr magnetons per cell. As for the space group: Cm (8).

---

## C
A plane-wave DFT calculation with meta-GGA SCAN was carried out for a crystal of LaSc relaxed with PBEsol.

POSCAR file:
```
LaSc
1.0
5.9796 -1.7881 0.0000
5.9796 1.7881 0.0000
-2.0984 0.0000 5.3449
La Sc
2 2
direct
0.1206 0.1206 0.3319
0.8794 0.8794 0.6681
0.3607 0.3607 0.1612
0.6393 0.6393 0.8388
```

Properties
The calculation puts the magnetization at 0.20 Bohr magnetons per cell. As for the space group: C2/m (12).

---

## D
A plane-wave DFT calculation with meta-GGA SCAN was carried out for a crystal of LaSc relaxed with PBEsol.

POSCAR file:
```
LaSc
1.0
-1.8687 2.7707 5.5507
1.8687 -2.7707 5.5507
1.8687 2.7707 -5.5507
La Sc
2 2
direct
0.3651 0.1151 0.2500
0.6349 0.8849 0.7500
0.1120 0.3620 0.7500
0.8880 0.6380 0.2500
```

Properties
The calculation puts the magnetization at 0.00 Bohr magnetons per cell. As for the space group: Imma (74).

---

What should be chosen as the most stable of them? Choose B.

---

## A
A plane-wave DFT calculation with meta-GGA SCAN was carried out for a crystal of LaSc relaxed with PBEsol.

POSCAR file:
```
LaSc
1.0
3.8562 0.0000 0.0000
0.0000 3.8562 0.0000
0.0000 0.0000 3.8562
La Sc
1 1
direct
0.0000 0.0000 0.0000
0.5000 0.5000 0.5000
```

Properties
The calculation puts the magnetization at 0.00 Bohr magnetons per cell. As for the space group: Pm-3m (221).

---

## B
A plane-wave DFT calculation with meta-GGA SCAN was carried out for a crystal of LaSc relaxed with PBEsol.

POSCAR file:
```
LaSc
1.0
-2.4000 2.4000 4.9267
2.4000 -2.4000 4.9267
2.4000 2.4000 -4.9267
La Sc
2 2
direct
0.3750 0.6250 0.7500
0.6250 0.3750 0.2500
0.1250 0.8750 0.2500
0.8750 0.1250 0.7500
```

Properties
The calculation puts the magnetization at 0.01 Bohr magnetons per cell. As for the space group: I4_1/amd (141).

---

## C
A plane-wave DFT calculation with meta-GGA SCAN was carried out for a crystal of LaSc relaxed with PBEsol.

POSCAR file:
```
LaSc
1.0
3.4573 0.0000 0.0000
0.0000 5.5745 0.0000
0.0000 0.0000 5.8655
La Sc
2 2
direct
0.2500 0.2500 0.0848
0.7500 0.7500 0.9152
0.2500 0.7500 0.4180
0.7500 0.2500 0.5820
```

Properties
The calculation puts the magnetization at 0.22 Bohr magnetons per cell. As for the space group: Pmmn (59).

---

## D
A plane-wave DFT calculation with meta-GGA SCAN was carried out for a crystal of LaSc relaxed with PBEsol.

POSCAR file:
```
LaSc
1.0
3.4379 0.0000 0.0000
-1.7190 2.9773 0.0000
0.0000 0.0000 10.8275
La Sc
2 2
direct
0.0000 0.0000 0.0000
0.0000 0.0000 0.5000
0.3333 0.6667 0.2500
0.6667 0.3333 0.7500
```

Properties
The calculation puts the magnetization at 0.00 Bohr magnetons per cell. As for the space group: P6_3/mmc (194).

---

What should be chosen as the most stable of them? Choose A.

---

## A
A plane-wave DFT calculation with meta-GGA SCAN was carried out for a crystal of LaSc relaxed with PBEsol.

POSCAR file:
```
LaSc
1.0
5.5366 0.0000 0.0000
0.0000 3.7459 0.0000
0.0000 0.0000 5.5477
La Sc
2 2
direct
0.2500 0.0000 0.2378
0.7500 0.0000 0.7622
0.2500 0.5000 0.7347
0.7500 0.5000 0.2653
```

Properties
The calculation puts the magnetization at 0.00 Bohr magnetons per cell. As for the space group: Pmma (51).

---

## B
A plane-wave DFT calculation with meta-GGA SCAN was carried out for a crystal of LaSc relaxed with PBEsol.

POSCAR file:
```
LaSc
1.0
0.0000 3.8699 3.8699
3.8699 0.0000 3.8699
3.8699 3.8699 0.0000
La Sc
2 2
direct
0.1250 0.1250 0.1250
0.8750 0.8750 0.8750
0.3750 0.3750 0.3750
0.6250 0.6250 0.6250
```

Properties
The calculation puts the magnetization at 0.03 Bohr magnetons per cell. As for the space group: Fd-3m (227).

---

## C
A plane-wave DFT calculation with meta-GGA SCAN was carried out for a crystal of LaSc relaxed with PBEsol.

POSCAR file:
```
LaSc
1.0
3.5222 0.0000 0.0000
0.0000 3.5222 0.0000
0.0000 0.0000 9.1772
La Sc
2 2
direct
0.2500 0.2500 0.1333
0.7500 0.7500 0.8667
0.2500 0.2500 0.6049
0.7500 0.7500 0.3951
```

Properties
The calculation puts the magnetization at 0.63 Bohr magnetons per cell. As for the space group: P4/nmm (129).

---

What should be chosen as the most stable of them? Choose A.

---

## A
A plane-wave DFT calculation with meta-GGA SCAN was carried out for a crystal of LaSc relaxed with PBEsol.

POSCAR file:
```
LaSc
1.0
3.4286 0.0000 0.0000
-1.7143 2.9692 0.0000
0.0000 0.0000 11.2138
La Sc
2 2
direct
0.3333 0.6667 0.3551
0.6667 0.3333 0.6449
0.3333 0.6667 0.8906
0.6667 0.3333 0.1094
```

Properties
The calculation puts the magnetization at 0.36 Bohr magnetons per cell. As for the space group: P-3m1 (164).

---

## B
A plane-wave DFT calculation with meta-GGA SCAN was carried out for a crystal of LaSc relaxed with PBEsol.

POSCAR file:
```
LaSc
1.0
3.4392 0.0000 0.0000
-1.7196 2.9785 0.0000
0.0000 0.0000 16.7160
La Sc
3 3
direct
0.0000 0.0000 0.0000
0.0000 0.0000 0.3283
0.3333 0.6667 0.8062
0.0000 0.0000 0.6413
0.3333 0.6667 0.1619
0.3333 0.6667 0.4961
```

Properties
The calculation puts the magnetization at 0.35 Bohr magnetons per cell. As for the space group: P3m1 (156).

---

## C
A plane-wave DFT calculation with meta-GGA SCAN was carried out for a crystal of LaSc relaxed with PBEsol.

POSCAR file:
```
LaSc
1.0
1.7674 -2.8229 0.0000
1.7674 2.8229 0.0000
0.0000 0.0000 5.6709
La Sc
1 1
direct
0.0000 0.0000 0.0000
0.5000 0.5000 0.5000
```

Properties
The calculation puts the magnetization at 0.00 Bohr magnetons per cell. As for the space group: Cmmm (65).

---

What should be chosen as the most stable of them? Choose A.